# Ag4BrF5

An optimized crystal structure of Ag4BrF5 (PBE-GGA, Alexandria).

```
Ag4BrF5
1.0
-3.7155 0.5974 4.3283
-2.3872 -6.6701 -1.1286
5.9785 -3.0800 5.5571
Ag Br F
8 2 10
Direct
0.0272 0.0000 0.7236
0.5067 0.7826 0.0000
0.5067 0.2174 0.0000
0.0272 0.0000 0.2764
0.9728 0.5000 0.2236
0.4933 0.7174 0.5000
0.4933 0.2826 0.5000
0.9728 0.5000 0.7764
0.8687 0.0000 0.0000
0.1313 0.5000 0.5000
0.2379 0.7408 0.8126
0.2379 0.2592 0.8126
0.7822 0.5000 0.0000
0.2379 0.7408 0.1874
0.2379 0.2592 0.1874
0.7621 0.7592 0.3126
0.7621 0.2408 0.3126
0.2178 0.0000 0.5000
0.7621 0.2408 0.6874
0.7621 0.7592 0.6874
```

Properties
Calculated volume ... 359.0 Å³ per cell
Calculated total energy ... -3.169 eV/atom
ρ ... 5.61 g/cm³
E_form (uncorrected) ... -9.3 eV per formula unit
Magnetization ... 0.000 μB/f.u.

---

# Ti2Cr2Pd

An optimized crystal structure of Ti2Cr2Pd (PBE-GGA, Alexandria).

```
Ti2Cr2Pd
1.0
6.8937 0.0000 0.0000
0.0000 6.8937 0.0000
0.0000 0.0000 3.0878
Cr Pd Ti
4 2 4
Direct
0.3984 0.8984 0.0000
0.8984 0.6016 0.0000
0.6016 0.1016 0.0000
0.1016 0.3984 0.0000
0.0000 0.0000 0.0000
0.5000 0.5000 0.0000
0.1943 0.6943 0.5000
0.6943 0.8057 0.5000
0.8057 0.3057 0.5000
0.3057 0.1943 0.5000
```

Properties
Calculated volume ... 146.7 Å³ per cell
Energy of formation from the pure elements ... 0.017 eV per atom
Calculated total energy ... -8.029 eV/atom
ρ ... 6.93 g/cm³
Magnetization ... 0.000 μB/f.u.

---

# PuCu2PdO6

An optimized crystal structure of PuCu2PdO6 (PBE-GGA, Alexandria).

```
PuCu2PdO6
1.0
-1.0653 4.8662 -1.8505
-2.8099 -4.1702 -1.7182
-1.5695 -1.1796 5.4317
Pu Cu Pd O
1 2 1 6
Direct
0.9965 0.9978 0.9803
0.4939 0.7464 0.2260
0.4994 0.2492 0.7345
0.9966 0.4978 0.4803
0.4930 0.8881 0.7266
0.5000 0.1075 0.2340
0.8565 0.7479 0.2339
0.1406 0.3915 0.2340
0.8525 0.6040 0.7265
0.1366 0.2476 0.7266
```

Properties
Calculated volume ... 119.7 Å³ per cell
Calculated total energy ... -6.962 eV/atom
ρ ... 7.96 g/cm³
E_form (uncorrected) ... -12.2 eV per formula unit
Magnetization ... 1.990 μB/f.u.

---

# Ni4H6Pd

An optimized crystal structure of Ni4H6Pd (PBE-GGA, Alexandria).

```
Ni4H6Pd
1.0
2.6936 0.0000 0.0000
-1.3468 4.3169 0.0000
0.0000 0.0000 12.8112
Ni H Pd
8 12 2
Direct
0.8607 0.7214 0.5464
0.4129 0.8257 0.1299
0.1393 0.2786 0.4536
0.5871 0.1743 0.8701
0.8607 0.7214 0.9536
0.1393 0.2786 0.0464
0.5871 0.1743 0.6299
0.4129 0.8257 0.3701
0.5000 0.0000 0.0000
0.5000 0.0000 0.5000
0.0324 0.0648 0.3408
0.9676 0.9352 0.6592
0.9676 0.9352 0.8408
0.0324 0.0648 0.1592
0.7778 0.5556 0.4203
0.2222 0.4444 0.5797
0.2222 0.4444 0.9203
0.7778 0.5556 0.0797
0.3353 0.6705 0.2500
0.6647 0.3295 0.7500
0.6809 0.3617 0.2500
0.3191 0.6383 0.7500
```

Properties
Calculated volume ... 149.0 Å³ per cell
Calculated total energy ... -4.427 eV/atom
ρ ... 7.74 g/cm³
Magnetization ... 0.000 μB/f.u.

---

Q: The lowest calculated total energy belongs to which entry?
A: Ti2Cr2Pd